--- w ---
First-principles (PBE-GGA) data for crystalline Ta2W at its relaxed geometry, as listed in Alexandria via LeMat-Bulk.

a = 3.2783 Å, b = 4.6623 Å, c = 13.7034 Å
α = 90.00°, β = 90.00°, γ = 90.00°
Fractional coordinates of all 12 atoms:
Ta1 0.0000 0.0000 0.1636
Ta2 0.0000 0.0000 0.8364
Ta3 0.0000 0.5000 0.3365
Ta4 0.0000 0.5000 0.6636
Ta5 0.5000 0.0000 0.3365
Ta6 0.5000 0.0000 0.6636
Ta7 0.5000 0.5000 0.1636
Ta8 0.5000 0.5000 0.8364
W1 0.0000 0.0000 0.5000
W2 0.0000 0.5000 0.0000
W3 0.5000 0.0000 0.0000
W4 0.5000 0.5000 0.5000

* space-group type: Fmmm (69)
* total moment: 0.000 μB per atom
* DOS(E_F): 13.21 states/eV/cell

***

--- x ---
First-principles (PBE-GGA) data for crystalline Ta2W at its relaxed geometry, as listed in Alexandria via LeMat-Bulk.

a = 3.0933 Å, b = 3.0933 Å, c = 6.5117 Å
α = 90.00°, β = 90.00°, γ = 120.00°
Fractional coordinates of all 3 atoms:
Ta1 0.3333 0.6667 0.1773
Ta2 0.6667 0.3333 0.8227
W1 0.0000 0.0000 0.5000

* space-group type: P-3m1 (164)
* total moment: 0.000 μB per atom
* DOS(E_F): 3.06 states/eV/cell

***

Which is most stable? The ranking, best first, is w, x.